The following is a PBE calculation of an optimized crystal structure of TaHgSb2, from Alexandria via LeMat-Bulk.

Calculated values
As for the magnetization: 0.000 μB/atom. Its calculated volume is 25.0 Å³ per atom. For the uncorrected formation energy, the calculation gives 0.15 eV per atom. As for the space group: No. 123. Its density of states at the Fermi level is 0.81 states/eV/atom.

Unit cell a=3.4498 b=3.4498 c=8.4159 alpha=90.00 beta=90.00 gamma=90.00
Element x y z (fractional)
Ta  0.0000  0.0000  0.0000
Hg  0.0000  0.0000  0.5000
Sb  0.5000  0.5000  0.1951
Sb  0.5000  0.5000  0.8049

=====

The following is a PBE calculation of an optimized crystal structure of Ta2HgSb, from Alexandria via LeMat-Bulk.

Calculated values
As for the magnetization: 0.000 μB/atom. Its calculated volume is 19.7 Å³ per atom. For the uncorrected formation energy, the calculation gives 0.37 eV per atom. As for the space group: No. 123. Its density of states at the Fermi level is 0.82 states/eV/atom.

Unit cell a=3.3086 b=3.3086 c=7.1963 alpha=90.00 beta=90.00 gamma=90.00
Element x y z (fractional)
Ta  0.0000  0.0000  0.2273
Ta  0.0000  0.0000  0.7727
Hg  0.5000  0.5000  0.5000
Sb  0.5000  0.5000  0.0000

=====

The following is a PBE calculation of an optimized crystal structure of TaHgSb2, from Alexandria via LeMat-Bulk.

Calculated values
As for the magnetization: 0.000 μB/atom. Its calculated volume is 24.9 Å³ per atom. For the uncorrected formation energy, the calculation gives 0.32 eV per atom. As for the space group: No. 160. Its density of states at the Fermi level is 0.88 states/eV/atom.

Unit cell a=11.1765 b=11.1765 c=11.1765 alpha=16.61 beta=16.61 gamma=16.61
Element x y z (fractional)
Ta  0.0000  0.0000  0.0000
Hg  0.7376  0.7376  0.7376
Sb  0.2639  0.2639  0.2639
Sb  0.4805  0.4805  0.4805

=====

The following is a PBE calculation of an optimized crystal structure of TaHgSb2, from Alexandria via LeMat-Bulk.

Calculated values
As for the magnetization: 0.000 μB/atom. Its calculated volume is 23.3 Å³ per atom. For the uncorrected formation energy, the calculation gives 0.25 eV per atom. As for the space group: No. 38. Its density of states at the Fermi level is 0.46 states/eV/atom.

Unit cell a=4.3004 b=5.9145 c=5.9145 alpha=38.21 beta=90.00 gamma=90.00
Element x y z (fractional)
Ta  0.0000  0.0000  0.0000
Hg  0.5000  0.1741  0.1741
Sb  0.0000  0.7113  0.7113
Sb  0.5000  0.4276  0.4276

=====

Question: Number 2 is which compound?
Answer: Ta2HgSb